[1]
Zr2Be7Au12 | PBE-GGA | relaxed

The structure belongs to space group P-3 (No. 147); the cell edges are 10.0036, 10.0036 and 3.7519 Å and the angles 90.00°, 90.00° and 120.00°. Symmetry generates all atoms from Zr at (0.3333, 0.6667, 0.2553), Be at (0.0000, 0.0000, 0.0000), Be at (0.1174, 0.7105, 0.7510), Au at (0.0846, 0.4621, 0.7490) and Au at (0.1188, 0.2601, 0.2503).

The total DFT energy (no corrections) is -87.16 eV/cell. As for the size of the total moment: 0.000 μB per formula unit. The density of states at the Fermi level comes out at 9.71 states/eV/f.u. The value obtained for the formation energy is -0.221 eV/atom.

***

[2]
TlSiIr2 | PBE-GGA | relaxed

The structure belongs to space group P4mm (No. 99); the cell edges are 2.904, 2.904 and 8.277 Å and the angles 90.00°, 90.00° and 90.00°. Symmetry generates all atoms from Tl at (0.000, 0.000, 0.000), Si at (0.500, 0.500, 0.678), Ir at (0.000, 0.000, 0.501) and Ir at (0.500, 0.500, 0.273).

The total DFT energy (no corrections) is -24.35 eV/cell. As for the size of the total moment: 0.002 μB per formula unit. The density of states at the Fermi level comes out at 5.05 states/eV/f.u. The calculation puts the formation energy (no corrections) at 0.290 eV/atom. The energy above the most stable polymorph in this dataset is 438 meV/atom.

***

[3]
Pb3W2 | PBE-GGA | relaxed

The structure belongs to space group R-3m (No. 166, hexagonal axes); the cell edges are 3.1693, 3.1693 and 40.2431 Å and the angles 90.00°, 90.00° and 120.00°. Symmetry generates all atoms from Pb at (0.0000, 0.0000, 0.0000), Pb at (0.0000, 0.0000, 0.2141) and W at (0.0000, 0.0000, 0.3911).

The total DFT energy (no corrections) is -96.09 eV/cell. As for the size of the total moment: 0.000 μB per formula unit. The density of states at the Fermi level comes out at 4.94 states/eV/f.u. The value obtained for the formation energy is 1.000 eV/atom.

***

[4]
RbLaSnO3 | PBE-GGA | relaxed

The structure belongs to space group P2_1/m (No. 11); the cell edges are 7.052, 3.619 and 11.009 Å and the angles 90.00°, 94.64° and 90.00°. Symmetry generates all atoms from Rb at (0.176, 0.250, 0.250), La at (0.367, 0.750, 0.874), Sn at (0.265, 0.250, 0.602), O at (0.165, 0.250, 0.780), O at (0.411, 0.750, 0.091) and O at (0.428, 0.750, 0.653).

The total DFT energy (no corrections) is -75.56 eV/cell. As for the size of the total moment: 0.000 μB per formula unit. The density of states at the Fermi level comes out at 0.00 states/eV/f.u. The calculation puts the formation energy (no corrections) at -2.168 eV/atom.

***

[5]
Sc3UFe8 | PBE-GGA | relaxed

The structure belongs to space group R3m (No. 160, hexagonal axes); the cell edges are 4.9095, 4.9095 and 24.3213 Å and the angles 90.00°, 90.00° and 120.00°. Symmetry generates all atoms from Sc at (0.0000, 0.0000, 0.0000), Sc at (0.0000, 0.0000, 0.1223), Sc at (0.0000, 0.0000, 0.4968), U at (0.0000, 0.0000, 0.6240), Fe at (0.0000, 0.0000, 0.3107), Fe at (0.0000, 0.0000, 0.8111), Fe at (0.0005, 0.5002, 0.0615) and Fe at (0.0013, 0.5006, 0.5599).

The total DFT energy (no corrections) is -299.44 eV/cell. As for the size of the total moment: 2.945 μB per formula unit. The density of states at the Fermi level comes out at 16.20 states/eV/f.u. The value obtained for the formation energy is -0.152 eV/atom.

***

[6]
Th2MnGe6Ir | PBE-GGA | relaxed

The structure belongs to space group Pmmn (No. 59, origin choice 2); the cell edges are 6.560, 8.913 and 6.890 Å and the angles 90.00°, 90.00° and 90.00°. Symmetry generates all atoms from Th at (0.250, 0.002, 0.232), Mn at (0.250, 0.750, 0.905), Ge at (0.058, 0.250, 0.931), Ge at (0.062, 0.750, 0.580), Ge at (0.250, 0.507, 0.745) and Ir at (0.250, 0.250, 0.603).

The total DFT energy (no corrections) is -127.51 eV/cell. As for the size of the total moment: 1.698 μB per formula unit. The density of states at the Fermi level comes out at 6.17 states/eV/f.u. The value obtained for the formation energy is -0.318 eV/atom.

***

[7]
KSr2 | PBE-GGA | relaxed

The structure belongs to space group Immm (No. 71); the cell edges are 4.301, 6.295 and 13.171 Å and the angles 90.00°, 90.00° and 90.00°. Symmetry generates all atoms from K at (0.000, 0.000, 0.000) and Sr at (0.000, 0.000, 0.330).

The total DFT energy (no corrections) is -8.28 eV/cell. As for the size of the total moment: 0.000 μB per formula unit. The density of states at the Fermi level comes out at 2.87 states/eV/f.u. The value obtained for the formation energy is 0.108 eV/atom.

***

[8]
IrRu3 | PBE-GGA | relaxed

The structure belongs to space group R-3m (No. 166, hexagonal axes); the cell edges are 8.7045, 8.7045 and 2.6668 Å and the angles 90.00°, 90.00° and 120.00°. Symmetry generates all atoms from Ir at (0.0000, 0.0000, 0.0000) and Ru at (0.0000, 0.5000, 0.0000).

The total DFT energy (no corrections) is -102.83 eV/cell. As for the size of the total moment: 1.703 μB per formula unit. The density of states at the Fermi level comes out at 8.44 states/eV/f.u. The value obtained for the formation energy is 0.603 eV/atom.